one | Compound: Nd2Sm2C2I2Br3
Source: OQMD via LeMat-Bulk
Functional: PBE-GGA
Structure: optimized geometry

Cell lengths 10.020, 10.020, 8.390 Å; angles 103.49, 103.49, 22.65 degrees
Atoms (fractional coordinates):
1 Nd 0.155 0.155 0.089
2 Nd 0.845 0.845 0.911
3 Sm 0.498 0.498 0.197
4 Sm 0.502 0.502 0.803
5 C 0.037 0.037 0.020
6 C 0.963 0.963 0.980
7 I 0.338 0.338 0.619
8 I 0.662 0.662 0.381
9 Br 0.000 0.000 0.500
10 Br 0.333 0.333 0.173
11 Br 0.667 0.667 0.827

Values from the calculation:
volume	315.1	Å³ per cell

two | Compound: Nd2Sm2C2I2Br3
Source: OQMD via LeMat-Bulk
Functional: PBE-GGA
Structure: optimized geometry

Cell lengths 10.210, 10.210, 8.360 Å; angles 103.59, 103.59, 22.40 degrees
Atoms (fractional coordinates):
1 Nd 0.001 0.001 0.202
2 Nd 0.999 0.999 0.798
3 Sm 0.349 0.349 0.903
4 Sm 0.651 0.651 0.097
5 C 0.464 0.464 0.978
6 C 0.536 0.536 0.022
7 I 0.168 0.168 0.816
8 I 0.832 0.832 0.184
9 Br 0.158 0.158 0.358
10 Br 0.500 0.500 0.500
11 Br 0.842 0.842 0.642

Values from the calculation:
volume	322.5	Å³ per cell

three | Compound: Nd2Sm2C2I2Br3
Source: OQMD via LeMat-Bulk
Functional: PBE-GGA
Structure: optimized geometry

Cell lengths 10.005, 10.005, 8.381 Å; angles 102.71, 102.71, 22.85 degrees
Atoms (fractional coordinates):
1 Nd 0.002 0.002 0.300
2 Nd 0.998 0.998 0.700
3 Sm 0.347 0.347 0.413
4 Sm 0.653 0.653 0.587
5 C 0.463 0.463 0.479
6 C 0.537 0.537 0.521
7 I 0.164 0.164 0.875
8 I 0.836 0.836 0.125
9 Br 0.170 0.170 0.335
10 Br 0.500 0.500 0.000
11 Br 0.830 0.830 0.665

Values from the calculation:
volume	317.5	Å³ per cell

Most stable to least stable: two, three, one

one | Compound: Nd2Y2CI3Br2
Source: OQMD via LeMat-Bulk
Functional: PBE-GGA
Structure: optimized geometry

Cell lengths 9.619, 9.619, 8.853 Å; angles 101.90, 101.90, 24.01 degrees
Atoms (fractional coordinates):
1 Nd 0.002 0.002 0.305
2 Nd 0.998 0.998 0.695
3 Y 0.369 0.369 0.440
4 Y 0.631 0.631 0.560
5 C 0.500 0.500 0.500
6 I 0.170 0.170 0.827
7 I 0.500 0.500 0.000
8 I 0.830 0.830 0.173
9 Br 0.168 0.168 0.352
10 Br 0.832 0.832 0.648

Values from the calculation:
volume	325.9	Å³ per cell

two | Compound: Nd2Y2CI3Br2
Source: OQMD via LeMat-Bulk
Functional: PBE-GGA
Structure: optimized geometry

Cell lengths 9.464, 9.464, 8.610 Å; angles 102.78, 102.78, 24.26 degrees
Atoms (fractional coordinates):
1 Nd 0.139 0.139 0.066
2 Nd 0.861 0.861 0.934
3 Y 0.499 0.499 0.190
4 Y 0.501 0.501 0.810
5 C 0.000 0.000 0.000
6 I 0.000 0.000 0.500
7 I 0.333 0.333 0.646
8 I 0.667 0.667 0.354
9 Br 0.336 0.336 0.179
10 Br 0.664 0.664 0.821

Values from the calculation:
volume	308.6	Å³ per cell

Most stable to least stable: one, two